Material: VPtO2F
Method: DFT, GGA+U
State: relaxed

Values from the calculation:
Symmetry: P4/mmm, No. 123
Uncorrected energy: -5.3391 eV per atom
Calculated volume: 14.059 Å³ per atom

Cell lengths 3.9377, 3.9377, 4.5336 Å; angles 90.00, 90.00, 90.00 degrees
Element x y z (fractional)
V: 0.0000 0.0000 0.0000
Pt: 0.5000 0.5000 0.5000
O: 0.0000 0.5000 0.5000
O: 0.5000 0.0000 0.5000
F: 0.5000 0.5000 0.0000